# 1
! ErTc2 | the Alexandria database | PBE | optimized geometry; values from VASP
&SYSTEM
  ibrav = 0, nat = 3, ntyp = 2
/
ATOMIC_SPECIES
Tc 98.00 Tc.upf
Er 167.26 Er.upf
CELL_PARAMETERS angstrom
-2.036 -1.679 -1.700
0.305 -2.399 2.002
-3.327 4.044 2.891
ATOMIC_POSITIONS crystal
Tc 0.690 0.690 0.380
Tc 0.310 0.310 0.620
Er 0.000 0.000 0.000
! DFT formation energy: -3.4 meV/atom
! total magnetization: 0.00 μB/cell
! total energy: -8.4350 eV per atom

# 2
! Cs2VPbI | the Alexandria database | PBE | optimized geometry; values from VASP
&SYSTEM
  ibrav = 0, nat = 5, ntyp = 4
/
ATOMIC_SPECIES
I 126.90 I.upf
Cs 132.91 Cs.upf
Pb 207.20 Pb.upf
V 50.94 V.upf
CELL_PARAMETERS angstrom
-6.052 -0.481 4.083
0.349 -5.241 -0.100
4.083 0.157 6.070
ATOMIC_POSITIONS crystal
I 0.000 0.000 0.000
Cs 0.000 0.000 0.500
Pb 0.500 0.500 0.500
V 0.000 0.500 0.000
Cs 0.500 0.000 0.000
! total magnetization: 2.73 μB/cell
! total energy: -2.8765 eV per atom

# 3
! CeNbTl2O6 | the Alexandria database | PBE | optimized geometry; values from VASP
&SYSTEM
  ibrav = 0, nat = 10, ntyp = 4
/
ATOMIC_SPECIES
O 16.00 O.upf
Ce 140.12 Ce.upf
Tl 204.38 Tl.upf
Nb 92.91 Nb.upf
CELL_PARAMETERS angstrom
6.043 0.000 0.000
3.022 5.234 0.000
3.022 1.745 4.934
ATOMIC_POSITIONS crystal
O 0.264 0.264 0.736
O 0.264 0.736 0.264
O 0.736 0.264 0.736
Ce 0.000 0.000 0.000
Tl 0.750 0.750 0.750
Tl 0.250 0.250 0.250
O 0.736 0.736 0.264
O 0.264 0.736 0.736
O 0.736 0.264 0.264
Nb 0.500 0.500 0.500
! total magnetization: 0.00 μB/cell
! total energy: -7.1003 eV per atom

# 4
! BaTlSn3 | the Alexandria database | PBE | optimized geometry; values from VASP
&SYSTEM
  ibrav = 0, nat = 5, ntyp = 3
/
ATOMIC_SPECIES
Sn 118.71 Sn.upf
Tl 204.38 Tl.upf
Ba 137.33 Ba.upf
CELL_PARAMETERS angstrom
5.794 0.000 0.000
0.000 5.794 0.000
0.000 0.000 5.794
ATOMIC_POSITIONS crystal
Sn 0.500 0.000 0.000
Sn 0.000 0.500 0.000
Sn 0.000 0.000 0.500
Tl 0.000 0.000 0.000
Ba 0.500 0.500 0.500
! DFT formation energy: 137.1 meV/atom
! total magnetization: 0.00 μB/cell
! total energy: -3.1224 eV per atom

# 5
! BaTm2C | the Alexandria database | PBE | optimized geometry; values from VASP
&SYSTEM
  ibrav = 0, nat = 4, ntyp = 3
/
ATOMIC_SPECIES
Ba 137.33 Ba.upf
Tm 168.93 Tm.upf
C 12.01 C.upf
CELL_PARAMETERS angstrom
-1.219 -3.043 1.445
1.089 -0.995 3.264
-7.789 3.716 5.698
ATOMIC_POSITIONS crystal
Ba 0.000 0.000 0.000
Tm 0.877 0.877 0.370
Tm 0.123 0.123 0.630
C 0.500 0.500 0.500
! DFT formation energy: -69.7 meV/atom
! total magnetization: 0.00 μB/cell
! total energy: -5.0921 eV per atom

# 6
! BaYRh2 | the Alexandria database | PBE | optimized geometry; values from VASP
&SYSTEM
  ibrav = 0, nat = 4, ntyp = 3
/
ATOMIC_SPECIES
Rh 102.91 Rh.upf
Y 88.91 Y.upf
Ba 137.33 Ba.upf
CELL_PARAMETERS angstrom
7.440 0.038 0.027
5.275 5.246 -0.027
-6.223 -2.966 2.798
ATOMIC_POSITIONS crystal
Rh 0.832 0.332 0.500
Rh 0.975 0.975 0.000
Y 0.474 0.474 0.000
Ba 0.220 0.720 0.500
! DFT formation energy: -215.8 meV/atom
! total magnetization: 0.00 μB/cell
! total energy: -5.9882 eV per atom

# 7
! Mn2Ni2Pt | the Alexandria database | PBE | optimized geometry; values from VASP
&SYSTEM
  ibrav = 0, nat = 5, ntyp = 3
/
ATOMIC_SPECIES
Pt 195.08 Pt.upf
Mn 54.94 Mn.upf
Ni 58.69 Ni.upf
CELL_PARAMETERS angstrom
4.309 -4.570 -0.509
4.628 -2.386 3.550
-5.956 1.973 -0.593
ATOMIC_POSITIONS crystal
Pt 0.000 0.000 0.000
Mn 0.250 0.750 0.500
Ni 0.399 0.399 0.000
Ni 0.601 0.601 0.000
Mn 0.750 0.250 0.500
! DFT formation energy: 362.9 meV/atom
! total magnetization: 1.09 μB/cell
! total energy: -6.8256 eV per atom

# 8
! Ba2CaTl2 | the Alexandria database | PBE | optimized geometry; values from VASP
&SYSTEM
  ibrav = 0, nat = 5, ntyp = 3
/
ATOMIC_SPECIES
Tl 204.38 Tl.upf
Ca 40.08 Ca.upf
Ba 137.33 Ba.upf
CELL_PARAMETERS angstrom
5.301 0.000 0.000
0.000 5.301 0.000
2.650 2.650 7.604
ATOMIC_POSITIONS crystal
Tl 0.594 0.594 0.813
Ca 0.000 0.000 0.000
Ba 0.750 0.250 0.500
Ba 0.250 0.750 0.500
Tl 0.406 0.406 0.187
! DFT formation energy: -101.7 meV/atom
! total magnetization: 0.00 μB/cell
! total energy: -2.2176 eV per atom

Which formula does entry 1 have? ErTc2